Crystalline HfIr2C at its relaxed geometry, computed with GGA-PBE.

Cell: 6.801 6.801 5.110 Å, 90.00 90.00 90.00°
Space group I-42d (No. 122)
Unique sites:
Hf (0.000, 0.000, 0.000) (multiplicity 4)
Ir (0.131, 0.250, 0.625) (multiplicity 8)
C (0.000, 0.000, 0.500) (multiplicity 4)

Values from the calculation:
Formation energy from the elements, eV/atom: -0.159
Crystal system: tetragonal
DOS at the Fermi energy, states/eV/cell: 7.7